# Ba13Hg2 (PBE, optimized geometry)
# SG   No. 2
# ΔE_f   -0.10 eV/atom
data_Ba13Hg2
_symmetry_space_group_name_H-M 'P 1'
_symmetry_Int_Tables_number 1
_cell_length_a 7.932
_cell_length_b 10.344
_cell_length_c 12.181
_cell_angle_alpha 65.70
_cell_angle_beta 88.71
_cell_angle_gamma 81.82
loop_
_symmetry_equiv_pos_as_xyz
'x,y,z'
loop_
_atom_site_label
_atom_site_type_symbol
_atom_site_fract_x
_atom_site_fract_y
_atom_site_fract_z
Ba1 Ba 0.000 0.000 0.000
Ba2 Ba 0.066 0.528 0.315
Ba3 Ba 0.179 0.065 0.607
Ba4 Ba 0.229 0.619 0.931
Ba5 Ba 0.303 0.165 0.223
Ba6 Ba 0.400 0.673 0.555
Ba7 Ba 0.446 0.228 0.848
Ba8 Ba 0.554 0.772 0.152
Ba9 Ba 0.600 0.327 0.445
Ba10 Ba 0.697 0.835 0.777
Ba11 Ba 0.771 0.381 0.069
Ba12 Ba 0.821 0.935 0.393
Ba13 Ba 0.934 0.472 0.685
Hg1 Hg 0.191 0.839 0.285
Hg2 Hg 0.809 0.161 0.715

# BaHg (PBE, optimized geometry)
# SG   No. 164
# ΔE_f   -0.25 eV/atom
data_BaHg
_symmetry_space_group_name_H-M 'P 1'
_symmetry_Int_Tables_number 1
_cell_length_a 4.808
_cell_length_b 4.808
_cell_length_c 9.326
_cell_angle_alpha 90.00
_cell_angle_beta 90.00
_cell_angle_gamma 120.00
loop_
_symmetry_equiv_pos_as_xyz
'x,y,z'
loop_
_atom_site_label
_atom_site_type_symbol
_atom_site_fract_x
_atom_site_fract_y
_atom_site_fract_z
Ba1 Ba 0.333 0.667 0.200
Ba2 Ba 0.667 0.333 0.800
Hg1 Hg 0.333 0.667 0.582
Hg2 Hg 0.667 0.333 0.418

# BaHg (PBE, optimized geometry)
# SG   No. 223
# ΔE_f   0.01 eV/atom
data_BaHg
_symmetry_space_group_name_H-M 'P 1'
_symmetry_Int_Tables_number 1
_cell_length_a 9.567
_cell_length_b 9.567
_cell_length_c 9.567
_cell_angle_alpha 90.00
_cell_angle_beta 90.00
_cell_angle_gamma 90.00
loop_
_symmetry_equiv_pos_as_xyz
'x,y,z'
loop_
_atom_site_label
_atom_site_type_symbol
_atom_site_fract_x
_atom_site_fract_y
_atom_site_fract_z
Ba1 Ba 0.000 0.250 0.500
Ba2 Ba 0.000 0.750 0.500
Ba3 Ba 0.250 0.500 0.000
Ba4 Ba 0.500 0.000 0.250
Ba5 Ba 0.500 0.000 0.750
Ba6 Ba 0.750 0.500 0.000
Hg1 Hg 0.000 0.500 0.250
Hg2 Hg 0.000 0.500 0.750
Hg3 Hg 0.250 0.000 0.500
Hg4 Hg 0.500 0.250 0.000
Hg5 Hg 0.500 0.750 0.000
Hg6 Hg 0.750 0.000 0.500

# BaHg (PBE, optimized geometry)
# SG   No. 194
# ΔE_f   -0.41 eV/atom
data_BaHg
_symmetry_space_group_name_H-M 'P 1'
_symmetry_Int_Tables_number 1
_cell_length_a 10.042
_cell_length_b 10.042
_cell_length_c 5.701
_cell_angle_alpha 90.00
_cell_angle_beta 90.00
_cell_angle_gamma 120.00
loop_
_symmetry_equiv_pos_as_xyz
'x,y,z'
loop_
_atom_site_label
_atom_site_type_symbol
_atom_site_fract_x
_atom_site_fract_y
_atom_site_fract_z
Ba1 Ba 0.189 0.378 0.250
Ba2 Ba 0.189 0.811 0.250
Ba3 Ba 0.378 0.189 0.750
Ba4 Ba 0.622 0.811 0.250
Ba5 Ba 0.811 0.189 0.750
Ba6 Ba 0.811 0.622 0.750
Hg1 Hg 0.124 0.562 0.750
Hg2 Hg 0.438 0.562 0.750
Hg3 Hg 0.438 0.876 0.750
Hg4 Hg 0.562 0.124 0.250
Hg5 Hg 0.562 0.438 0.250
Hg6 Hg 0.876 0.438 0.250

# BaHg8 (PBE, optimized geometry)
# SG   No. 139
# ΔE_f   -0.21 eV/atom
data_BaHg8
_symmetry_space_group_name_H-M 'P 1'
_symmetry_Int_Tables_number 1
_cell_length_a 7.777
_cell_length_b 7.777
_cell_length_c 7.777
_cell_angle_alpha 95.56
_cell_angle_beta 95.56
_cell_angle_gamma 143.73
loop_
_symmetry_equiv_pos_as_xyz
'x,y,z'
loop_
_atom_site_label
_atom_site_type_symbol
_atom_site_fract_x
_atom_site_fract_y
_atom_site_fract_z
Ba1 Ba 0.000 0.000 0.000
Hg1 Hg 0.000 0.341 0.341
Hg2 Hg 0.000 0.659 0.659
Hg3 Hg 0.324 0.324 0.648
Hg4 Hg 0.324 0.676 0.000
Hg5 Hg 0.341 0.000 0.341
Hg6 Hg 0.659 0.000 0.659
Hg7 Hg 0.676 0.324 0.000
Hg8 Hg 0.676 0.676 0.352

# BaHg (PBE, optimized geometry)
# SG   No. 136
# ΔE_f   -0.40 eV/atom
data_BaHg
_symmetry_space_group_name_H-M 'P 1'
_symmetry_Int_Tables_number 1
_cell_length_a 7.015
_cell_length_b 7.015
_cell_length_c 6.951
_cell_angle_alpha 90.00
_cell_angle_beta 90.00
_cell_angle_gamma 90.00
loop_
_symmetry_equiv_pos_as_xyz
'x,y,z'
loop_
_atom_site_label
_atom_site_type_symbol
_atom_site_fract_x
_atom_site_fract_y
_atom_site_fract_z
Ba1 Ba 0.210 0.210 0.000
Ba2 Ba 0.290 0.710 0.500
Ba3 Ba 0.710 0.290 0.500
Ba4 Ba 0.790 0.790 0.000
Hg1 Hg 0.197 0.197 0.500
Hg2 Hg 0.303 0.697 0.000
Hg3 Hg 0.697 0.303 0.000
Hg4 Hg 0.803 0.803 0.500

# Ba2Hg5 (PBE, optimized geometry)
# SG   No. 12
# ΔE_f   -0.44 eV/atom
data_Ba2Hg5
_symmetry_space_group_name_H-M 'P 1'
_symmetry_Int_Tables_number 1
_cell_length_a 5.506
_cell_length_b 5.506
_cell_length_c 9.557
_cell_angle_alpha 104.74
_cell_angle_beta 104.74
_cell_angle_gamma 54.94
loop_
_symmetry_equiv_pos_as_xyz
'x,y,z'
loop_
_atom_site_label
_atom_site_type_symbol
_atom_site_fract_x
_atom_site_fract_y
_atom_site_fract_z
Ba1 Ba 0.062 0.062 0.224
Ba2 Ba 0.938 0.938 0.776
Hg1 Hg 0.205 0.205 0.605
Hg2 Hg 0.334 0.334 0.992
Hg3 Hg 0.500 0.500 0.500
Hg4 Hg 0.666 0.666 0.008
Hg5 Hg 0.795 0.795 0.395

# BaHg2 (PBE, optimized geometry)
# SG   No. 123
# ΔE_f   -0.31 eV/atom
data_BaHg2
_symmetry_space_group_name_H-M 'P 1'
_symmetry_Int_Tables_number 1
_cell_length_a 4.575
_cell_length_b 4.575
_cell_length_c 5.563
_cell_angle_alpha 90.00
_cell_angle_beta 90.00
_cell_angle_gamma 90.00
loop_
_symmetry_equiv_pos_as_xyz
'x,y,z'
loop_
_atom_site_label
_atom_site_type_symbol
_atom_site_fract_x
_atom_site_fract_y
_atom_site_fract_z
Ba1 Ba 0.000 0.000 0.000
Hg1 Hg 0.000 0.500 0.500
Hg2 Hg 0.500 0.000 0.500

# BaHg6 (PBE, optimized geometry)
# SG   No. 221
# ΔE to the lowest computed polymorph   322 kJ/mol of formula units
# ΔE_f   0.20 eV/atom
data_BaHg6
_symmetry_space_group_name_H-M 'P 1'
_symmetry_Int_Tables_number 1
_cell_length_a 6.918
_cell_length_b 6.918
_cell_length_c 6.918
_cell_angle_alpha 90.00
_cell_angle_beta 90.00
_cell_angle_gamma 90.00
loop_
_symmetry_equiv_pos_as_xyz
'x,y,z'
loop_
_atom_site_label
_atom_site_type_symbol
_atom_site_fract_x
_atom_site_fract_y
_atom_site_fract_z
Ba1 Ba 0.000 0.000 0.000
Hg1 Hg 0.194 0.500 0.500
Hg2 Hg 0.500 0.194 0.500
Hg3 Hg 0.500 0.500 0.194
Hg4 Hg 0.500 0.500 0.806
Hg5 Hg 0.500 0.806 0.500
Hg6 Hg 0.806 0.500 0.500

# BaHg (PBE, optimized geometry)
# SG   No. 198
# ΔE_f   -0.42 eV/atom
data_BaHg
_symmetry_space_group_name_H-M 'P 1'
_symmetry_Int_Tables_number 1
_cell_length_a 6.815
_cell_length_b 6.815
_cell_length_c 6.815
_cell_angle_alpha 90.00
_cell_angle_beta 90.00
_cell_angle_gamma 90.00
loop_
_symmetry_equiv_pos_as_xyz
'x,y,z'
loop_
_atom_site_label
_atom_site_type_symbol
_atom_site_fract_x
_atom_site_fract_y
_atom_site_fract_z
Ba1 Ba 0.072 0.428 0.572
Ba2 Ba 0.428 0.572 0.072
Ba3 Ba 0.572 0.072 0.428
Ba4 Ba 0.928 0.928 0.928
Hg1 Hg 0.086 0.914 0.414
Hg2 Hg 0.414 0.086 0.914
Hg3 Hg 0.586 0.586 0.586
Hg4 Hg 0.914 0.414 0.086

# BaHg (PBE, optimized geometry)
# SG   No. 217
# ΔE_f   -0.08 eV/atom
data_BaHg
_symmetry_space_group_name_H-M 'P 1'
_symmetry_Int_Tables_number 1
_cell_length_a 8.776
_cell_length_b 8.776
_cell_length_c 8.776
_cell_angle_alpha 109.47
_cell_angle_beta 109.47
_cell_angle_gamma 109.47
loop_
_symmetry_equiv_pos_as_xyz
'x,y,z'
loop_
_atom_site_label
_atom_site_type_symbol
_atom_site_fract_x
_atom_site_fract_y
_atom_site_fract_z
Ba1 Ba 0.000 0.000 0.601
Ba2 Ba 0.000 0.601 0.000
Ba3 Ba 0.399 0.399 0.399
Ba4 Ba 0.601 0.000 0.000
Hg1 Hg 0.000 0.000 0.226
Hg2 Hg 0.000 0.226 0.000
Hg3 Hg 0.226 0.000 0.000
Hg4 Hg 0.774 0.774 0.774

# Ba2Hg (PBE, optimized geometry)
# SG   No. 139
# ΔE_f   -0.38 eV/atom
data_Ba2Hg
_symmetry_space_group_name_H-M 'P 1'
_symmetry_Int_Tables_number 1
_cell_length_a 8.180
_cell_length_b 8.180
_cell_length_c 8.180
_cell_angle_alpha 149.77
_cell_angle_beta 149.77
_cell_angle_gamma 43.28
loop_
_symmetry_equiv_pos_as_xyz
'x,y,z'
loop_
_atom_site_label
_atom_site_type_symbol
_atom_site_fract_x
_atom_site_fract_y
_atom_site_fract_z
Ba1 Ba 0.131 0.131 0.000
Ba2 Ba 0.869 0.869 0.000
Hg1 Hg 0.500 0.500 0.000

# BaHg2 (PBE, optimized geometry)
# SG   No. 191
# ΔE_f   -0.50 eV/atom
data_BaHg2
_symmetry_space_group_name_H-M 'P 1'
_symmetry_Int_Tables_number 1
_cell_length_a 5.212
_cell_length_b 5.212
_cell_length_c 4.297
_cell_angle_alpha 90.00
_cell_angle_beta 90.00
_cell_angle_gamma 120.00
loop_
_symmetry_equiv_pos_as_xyz
'x,y,z'
loop_
_atom_site_label
_atom_site_type_symbol
_atom_site_fract_x
_atom_site_fract_y
_atom_site_fract_z
Ba1 Ba 0.000 0.000 0.000
Hg1 Hg 0.333 0.667 0.500
Hg2 Hg 0.667 0.333 0.500

# Ba2Hg (PBE, optimized geometry)
# SG   No. 123
# ΔE_f   -0.28 eV/atom
data_Ba2Hg
_symmetry_space_group_name_H-M 'P 1'
_symmetry_Int_Tables_number 1
_cell_length_a 5.930
_cell_length_b 5.930
_cell_length_c 4.103
_cell_angle_alpha 90.00
_cell_angle_beta 90.00
_cell_angle_gamma 90.00
loop_
_symmetry_equiv_pos_as_xyz
'x,y,z'
loop_
_atom_site_label
_atom_site_type_symbol
_atom_site_fract_x
_atom_site_fract_y
_atom_site_fract_z
Ba1 Ba 0.000 0.500 0.000
Ba2 Ba 0.500 0.000 0.000
Hg1 Hg 0.000 0.000 0.500

# BaHg (PBE, optimized geometry)
# SG   No. 129
# ΔE_f   -0.40 eV/atom
data_BaHg
_symmetry_space_group_name_H-M 'P 1'
_symmetry_Int_Tables_number 1
_cell_length_a 4.614
_cell_length_b 4.614
_cell_length_c 7.854
_cell_angle_alpha 90.00
_cell_angle_beta 90.00
_cell_angle_gamma 90.00
loop_
_symmetry_equiv_pos_as_xyz
'x,y,z'
loop_
_atom_site_label
_atom_site_type_symbol
_atom_site_fract_x
_atom_site_fract_y
_atom_site_fract_z
Ba1 Ba 0.250 0.250 0.204
Ba2 Ba 0.750 0.750 0.796
Hg1 Hg 0.250 0.250 0.639
Hg2 Hg 0.750 0.750 0.361

# BaHg (PBE, optimized geometry)
# SG   No. 216
# ΔE_f   -0.10 eV/atom
data_BaHg
_symmetry_space_group_name_H-M 'P 1'
_symmetry_Int_Tables_number 1
_cell_length_a 5.452
_cell_length_b 5.452
_cell_length_c 5.452
_cell_angle_alpha 60.00
_cell_angle_beta 60.00
_cell_angle_gamma 60.00
loop_
_symmetry_equiv_pos_as_xyz
'x,y,z'
loop_
_atom_site_label
_atom_site_type_symbol
_atom_site_fract_x
_atom_site_fract_y
_atom_site_fract_z
Ba1 Ba 0.000 0.000 0.000
Hg1 Hg 0.250 0.250 0.250

# Ba6Hg23 (PBE, optimized geometry)
# SG   No. 225
# ΔE_f   -0.35 eV/atom
data_Ba6Hg23
_symmetry_space_group_name_H-M 'P 1'
_symmetry_Int_Tables_number 1
_cell_length_a 10.914
_cell_length_b 10.914
_cell_length_c 10.914
_cell_angle_alpha 60.00
_cell_angle_beta 60.00
_cell_angle_gamma 60.00
loop_
_symmetry_equiv_pos_as_xyz
'x,y,z'
loop_
_atom_site_label
_atom_site_type_symbol
_atom_site_fract_x
_atom_site_fract_y
_atom_site_fract_z
Ba1 Ba 0.249 0.249 0.751
Ba2 Ba 0.249 0.751 0.249
Ba3 Ba 0.249 0.751 0.751
Ba4 Ba 0.751 0.249 0.249
Ba5 Ba 0.751 0.249 0.751
Ba6 Ba 0.751 0.751 0.249
Hg1 Hg 0.000 0.000 0.000
Hg2 Hg 0.000 0.000 0.500
Hg3 Hg 0.000 0.500 0.000
Hg4 Hg 0.000 0.500 0.500
Hg5 Hg 0.066 0.645 0.645
Hg6 Hg 0.143 0.143 0.143
Hg7 Hg 0.143 0.143 0.570
Hg8 Hg 0.143 0.570 0.143
Hg9 Hg 0.355 0.355 0.355
Hg10 Hg 0.355 0.355 0.934
Hg11 Hg 0.355 0.934 0.355
Hg12 Hg 0.430 0.857 0.857
Hg13 Hg 0.500 0.000 0.000
Hg14 Hg 0.500 0.000 0.500
Hg15 Hg 0.500 0.500 0.000
Hg16 Hg 0.570 0.143 0.143
Hg17 Hg 0.645 0.066 0.645
Hg18 Hg 0.645 0.645 0.066
Hg19 Hg 0.645 0.645 0.645
Hg20 Hg 0.857 0.430 0.857
Hg21 Hg 0.857 0.857 0.430
Hg22 Hg 0.857 0.857 0.857
Hg23 Hg 0.934 0.355 0.355

# Ba2Hg (PBE, optimized geometry)
# SG   No. 205
# ΔE_f   -0.29 eV/atom
data_Ba2Hg
_symmetry_space_group_name_H-M 'P 1'
_symmetry_Int_Tables_number 1
_cell_length_a 8.486
_cell_length_b 8.486
_cell_length_c 8.486
_cell_angle_alpha 90.00
_cell_angle_beta 90.00
_cell_angle_gamma 90.00
loop_
_symmetry_equiv_pos_as_xyz
'x,y,z'
loop_
_atom_site_label
_atom_site_type_symbol
_atom_site_fract_x
_atom_site_fract_y
_atom_site_fract_z
Ba1 Ba 0.159 0.159 0.159
Ba2 Ba 0.159 0.341 0.659
Ba3 Ba 0.341 0.659 0.159
Ba4 Ba 0.341 0.841 0.659
Ba5 Ba 0.659 0.159 0.341
Ba6 Ba 0.659 0.341 0.841
Ba7 Ba 0.841 0.659 0.341
Ba8 Ba 0.841 0.841 0.841
Hg1 Hg 0.000 0.000 0.500
Hg2 Hg 0.000 0.500 0.000
Hg3 Hg 0.500 0.000 0.000
Hg4 Hg 0.500 0.500 0.500

# BaHg2 (PBE, optimized geometry)
# SG   No. 12
# ΔE_f   -0.44 eV/atom
data_BaHg2
_symmetry_space_group_name_H-M 'P 1'
_symmetry_Int_Tables_number 1
_cell_length_a 6.103
_cell_length_b 6.103
_cell_length_c 6.903
_cell_angle_alpha 90.24
_cell_angle_beta 90.24
_cell_angle_gamma 52.12
loop_
_symmetry_equiv_pos_as_xyz
'x,y,z'
loop_
_atom_site_label
_atom_site_type_symbol
_atom_site_fract_x
_atom_site_fract_y
_atom_site_fract_z
Ba1 Ba 0.185 0.185 0.249
Ba2 Ba 0.815 0.815 0.751
Hg1 Hg 0.123 0.123 0.748
Hg2 Hg 0.500 0.500 0.000
Hg3 Hg 0.500 0.500 0.500
Hg4 Hg 0.877 0.877 0.252

# Ba4Hg (PBE, optimized geometry)
# SG   No. 139
# ΔE to the lowest computed polymorph   0 kJ/mol of formula units
# ΔE_f   -0.20 eV/atom
data_Ba4Hg
_symmetry_space_group_name_H-M 'P 1'
_symmetry_Int_Tables_number 1
_cell_length_a 14.668
_cell_length_b 14.668
_cell_length_c 14.668
_cell_angle_alpha 163.12
_cell_angle_beta 163.12
_cell_angle_gamma 23.95
loop_
_symmetry_equiv_pos_as_xyz
'x,y,z'
loop_
_atom_site_label
_atom_site_type_symbol
_atom_site_fract_x
_atom_site_fract_y
_atom_site_fract_z
Ba1 Ba 0.069 0.069 0.000
Ba2 Ba 0.309 0.309 0.000
Ba3 Ba 0.691 0.691 0.000
Ba4 Ba 0.931 0.931 0.000
Hg1 Hg 0.500 0.500 0.000